A plane-wave DFT calculation with PBE+U was carried out for CsTlCoF4 after structural relaxation. Values from VASP.

Calculated values
E = -4.440 eV per atom
crystal system = monoclinic
space-group type = P2_1/m

The structure in Quantum ESPRESSO input format:
```
&SYSTEM
  ibrav = 0, nat = 14, ntyp = 4
/
ATOMIC_SPECIES
Cs 132.91 Cs.upf
Tl 204.38 Tl.upf
Co 58.93 Co.upf
F 19.00 F.upf
CELL_PARAMETERS angstrom
5.9561 0.0000 0.0000
0.0000 6.5081 0.0000
-2.2749 0.0000 7.9965
ATOMIC_POSITIONS crystal
Cs 0.2238 0.2500 0.0849
Cs 0.7762 0.7500 0.9151
Tl 0.1715 0.7500 0.5307
Tl 0.8285 0.2500 0.4693
Co 0.4451 0.2500 0.7082
Co 0.5549 0.7500 0.2918
F 0.2240 0.7500 0.1893
F 0.3101 0.0056 0.7774
F 0.3101 0.4944 0.7774
F 0.3782 0.2500 0.4649
F 0.6218 0.7500 0.5351
F 0.6899 0.5056 0.2226
F 0.6899 0.9944 0.2226
F 0.7760 0.2500 0.8107
```